# 1
SrCdW3: optimized geometry, GGA-PBE.

Cell: 4.8524 4.8524 4.8524 Å, 90.00 90.00 90.00°
Element x y z (fractional)
Sr (0.0000, 0.0000, 0.0000)
W (0.0000, 0.5000, 0.0000)
W (0.0000, 0.0000, 0.5000)
W (0.5000, 0.0000, 0.0000)
Cd (0.5000, 0.5000, 0.5000)

N(E_F)	3.8	states/eV/f.u.
DFT total energy	-4.80	eV/atom
calculated formation energy	3488	meV per atom
energy above the most stable polymorph in this dataset	18.89	kcal/mol of atoms

***

# 2
SrCdW3: optimized geometry, GGA-PBE.

Cell: 5.0219 5.0219 5.0219 Å, 90.00 90.00 90.00°
Element x y z (fractional)
Sr (0.5000, 0.5000, 0.5000)
W (0.0000, 0.5000, 0.0000)
W (0.0000, 0.0000, 0.5000)
W (0.5000, 0.0000, 0.0000)
Cd (0.0000, 0.0000, 0.0000)

N(E_F)	9.1	states/eV/f.u.
DFT total energy	-5.62	eV/atom
calculated formation energy	2669	meV per atom
energy above the most stable polymorph in this dataset	0.00	kcal/mol of atoms

***

# 3
Sr2CdW: optimized geometry, GGA-PBE.

Cell: 5.9474 5.9474 5.9474 Å, 131.26 131.26 71.40°
Element x y z (fractional)
Cd (0.7500, 0.2500, 0.5000)
Sr (0.0000, 0.0000, 0.0000)
Sr (0.2500, 0.7500, 0.5000)
W (0.5000, 0.5000, 0.0000)

N(E_F)	4.9	states/eV/f.u.
DFT total energy	-3.36	eV/atom
calculated formation energy	947	meV per atom

***

# 4
Sr2CdW: optimized geometry, GGA-PBE.

Cell: 5.4383 5.4383 5.4383 Å, 60.00 60.00 60.00°
Element x y z (fractional)
Cd (0.5000, 0.5000, 0.5000)
Sr (0.0000, 0.0000, 0.0000)
Sr (0.2500, 0.2500, 0.2500)
W (0.7500, 0.7500, 0.7500)

N(E_F)	5.5	states/eV/f.u.
DFT total energy	-3.34	eV/atom
calculated formation energy	966	meV per atom

***

# 5
Sr2CdW: optimized geometry, GGA-PBE.

Cell: 3.1808 3.1808 10.6136 Å, 90.00 90.00 90.11°
Element x y z (fractional)
Cd (0.5000, 0.5000, 0.7500)
Sr (0.0000, 0.0000, 0.0157)
Sr (0.0000, 0.0000, 0.4843)
W (0.5000, 0.5000, 0.2500)

N(E_F)	4.3	states/eV/f.u.
DFT total energy	-3.54	eV/atom
calculated formation energy	765	meV per atom

***

# 6
Sr2CdW: optimized geometry, GGA-PBE.

Cell: 3.7103 3.7103 9.1445 Å, 90.00 90.00 90.00°
Element x y z (fractional)
Cd (0.5000, 0.5000, 0.6858)
Sr (0.0000, 0.0000, 0.9291)
Sr (0.5000, 0.5000, 0.3231)
W (0.0000, 0.0000, 0.5620)

N(E_F)	3.4	states/eV/f.u.
DFT total energy	-3.54	eV/atom
calculated formation energy	764	meV per atom